Entry 1:
! PBE-GGA HfZr2Ga, relaxed; values from VASP
&SYSTEM
  ibrav = 0, nat = 4, ntyp = 3
/
ATOMIC_SPECIES
Hf 178.49 Hf.upf
Ga 69.72 Ga.upf
Zr 91.22 Zr.upf
CELL_PARAMETERS angstrom
3.212 0.000 0.000
1.606 2.782 0.000
1.606 0.927 9.699
ATOMIC_POSITIONS angstrom
Hf 3.212 1.855 4.849
Ga 0.000 0.000 0.000
Zr 1.606 0.927 2.323
Zr 4.818 2.782 7.375
! - E_form (meV/atom) = -146
! - energy above the most stable polymorph in this dataset (kJ/mol of formula units) = 58
! - symmetry = R-3m

Entry 2:
! PBE-GGA Ho2SiRh, relaxed; values from VASP
&SYSTEM
  ibrav = 0, nat = 4, ntyp = 3
/
ATOMIC_SPECIES
Ho 164.93 Ho.upf
Si 28.09 Si.upf
Rh 102.91 Rh.upf
CELL_PARAMETERS angstrom
4.008 0.000 0.000
0.000 3.840 -1.455
0.000 -0.063 5.627
ATOMIC_POSITIONS angstrom
Ho 0.000 3.710 3.994
Ho 2.004 0.980 2.586
Si 2.004 2.119 -0.202
Rh 0.000 2.662 1.230
! - formation energy from raw total energies (meV/atom) = -862
! - symmetry = Amm2

Entry 3:
! PBE-GGA PrFeSi3Ni, relaxed; values from VASP
&SYSTEM
  ibrav = 0, nat = 12, ntyp = 4
/
ATOMIC_SPECIES
Pr 140.91 Pr.upf
Fe 55.84 Fe.upf
Si 28.09 Si.upf
Ni 58.69 Ni.upf
CELL_PARAMETERS angstrom
-2.822 4.693 1.619
0.657 -1.611 5.812
4.770 3.785 -2.657
ATOMIC_POSITIONS angstrom
Pr 0.345 4.958 1.335
Pr 2.260 1.909 3.440
Fe -0.345 1.384 0.422
Fe 2.951 5.484 4.352
Si 1.465 2.442 0.511
Si 0.190 -0.466 1.683
Si -0.944 1.202 4.939
Si -1.221 1.880 2.493
Si 0.467 -1.144 4.129
Si 1.141 4.426 4.264
Ni 3.296 3.512 0.601
Ni -0.691 3.355 4.174
! - formation energy from raw total energies (meV/atom) = -384
! - symmetry = Cmcm

Entry 4:
! PBE-GGA GdPaBi2, relaxed; values from VASP
&SYSTEM
  ibrav = 0, nat = 4, ntyp = 3
/
ATOMIC_SPECIES
Gd 157.25 Gd.upf
Pa 231.04 Pa.upf
Bi 208.98 Bi.upf
CELL_PARAMETERS angstrom
4.476 0.000 0.000
2.238 3.876 0.000
2.238 1.292 7.450
ATOMIC_POSITIONS angstrom
Gd 4.476 2.584 3.725
Pa 0.000 0.000 0.000
Bi 2.238 1.292 1.864
Bi 6.714 3.876 5.587
! - E_form (meV/atom) = -464
! - energy above the most stable polymorph in this dataset (kJ/mol of formula units) = 0
! - symmetry = R-3m

Entry 5:
! PBE-GGA Al2Si2Se, relaxed; values from VASP
&SYSTEM
  ibrav = 0, nat = 10, ntyp = 3
/
ATOMIC_SPECIES
Si 28.09 Si.upf
Al 26.98 Al.upf
Se 78.96 Se.upf
CELL_PARAMETERS angstrom
-1.006 5.305 -4.909
2.438 -4.417 -5.273
-3.144 -1.094 -0.538
ATOMIC_POSITIONS angstrom
Si 1.684 -1.920 -5.942
Si 0.818 1.391 -7.610
Si -0.251 2.808 -4.241
Si 0.615 -0.503 -2.573
Al -0.167 -2.640 -4.227
Al -0.083 -1.049 -7.949
Al -1.544 2.435 -6.493
Al -1.628 0.844 -2.771
Se 0.000 0.000 0.000
Se 0.716 0.444 -5.091
! - formation energy from raw total energies (meV/atom) = 270
! - energy above the most stable polymorph in this dataset (kJ/mol of formula units) = 108
! - symmetry = P4/mbm

Entry 6:
! PBE-GGA Tb4GaSe2Cl, relaxed; values from VASP
&SYSTEM
  ibrav = 0, nat = 8, ntyp = 4
/
ATOMIC_SPECIES
Tb 158.93 Tb.upf
Ga 69.72 Ga.upf
Se 78.96 Se.upf
Cl 35.45 Cl.upf
CELL_PARAMETERS angstrom
4.067 0.000 0.000
0.000 7.151 -0.184
0.000 2.481 6.696
ATOMIC_POSITIONS angstrom
Tb 0.000 7.217 4.758
Tb 4.067 2.415 1.754
Tb 2.033 5.978 1.601
Tb 2.033 3.654 4.910
Ga 0.000 4.816 3.256
Se 0.000 2.481 6.696
Se 2.033 1.240 3.348
Cl 2.033 6.056 6.604
! - formation energy from raw total energies (meV/atom) = -1384
! - symmetry = P2/m

Entry 7:
! PBE-GGA CaY2V, relaxed; values from VASP
&SYSTEM
  ibrav = 0, nat = 8, ntyp = 3
/
ATOMIC_SPECIES
Y 88.91 Y.upf
Ca 40.08 Ca.upf
V 50.94 V.upf
CELL_PARAMETERS angstrom
-6.056 6.054 0.507
-5.791 -5.535 -3.069
-6.629 -0.703 1.786
ATOMIC_POSITIONS angstrom
Y -6.449 3.199 0.403
Y -5.751 -3.161 -1.432
Y -9.144 -0.074 0.522
Y -15.608 -0.331 -1.045
Ca -5.923 0.260 -1.281
Ca -9.171 -2.989 -1.282
V 0.000 0.000 0.000
V -9.304 2.806 0.506
! - E_form (meV/atom) = 616
! - energy above the most stable polymorph in this dataset (kJ/mol of formula units) = 103
! - symmetry = I-42d

Entry 8:
! PBE-GGA Dy2CuPd, relaxed; values from VASP
&SYSTEM
  ibrav = 0, nat = 4, ntyp = 3
/
ATOMIC_SPECIES
Cu 63.55 Cu.upf
Pd 106.42 Pd.upf
Dy 162.50 Dy.upf
CELL_PARAMETERS angstrom
3.487 0.000 0.000
0.000 4.947 0.000
0.000 0.000 4.947
ATOMIC_POSITIONS angstrom
Cu 1.743 0.000 0.000
Pd 1.743 2.473 2.473
Dy 0.000 0.000 2.473
Dy 0.000 2.473 0.000
! - E_form (meV/atom) = -567
! - symmetry = P4/mmm

Entry 9:
! PBE-GGA VInRhW2, relaxed; values from VASP
&SYSTEM
  ibrav = 0, nat = 5, ntyp = 4
/
ATOMIC_SPECIES
V 50.94 V.upf
Rh 102.91 Rh.upf
W 183.84 W.upf
In 114.82 In.upf
CELL_PARAMETERS angstrom
-0.232 -4.589 -1.057
4.774 -0.158 -0.362
0.312 -1.071 4.581
ATOMIC_POSITIONS angstrom
V 2.427 -2.909 1.581
Rh 0.000 0.000 0.000
W 0.156 -0.536 2.291
W -0.116 -2.295 -0.529
In 2.387 -0.079 -0.181
! - E_form (meV/atom) = 1790
! - symmetry = P4/mmm

Entry 10:
! PBE-GGA ThGe2Rh8, relaxed; values from VASP
&SYSTEM
  ibrav = 0, nat = 11, ntyp = 3
/
ATOMIC_SPECIES
Th 232.04 Th.upf
Ge 72.64 Ge.upf
Rh 102.91 Rh.upf
CELL_PARAMETERS angstrom
-5.080 2.817 -0.780
-0.568 -2.486 -5.277
-2.792 -4.380 2.364
ATOMIC_POSITIONS angstrom
Th -4.220 -2.025 -1.847
Ge -2.540 1.408 -0.390
Ge -0.284 -1.243 -2.639
Rh -5.060 -0.836 -4.092
Rh -6.151 -1.678 -0.027
Rh -6.461 -3.034 -2.905
Rh -4.750 0.520 -1.214
Rh -2.289 -2.372 -3.666
Rh -3.690 -4.570 -2.479
Rh -1.979 -1.016 -0.788
Rh -3.381 -3.214 0.398
! - E_form (meV/atom) = -19
! - symmetry = P4/mmm

Entry 11:
! PBE-GGA Al2GaAg6, relaxed; values from VASP
&SYSTEM
  ibrav = 0, nat = 18, ntyp = 3
/
ATOMIC_SPECIES
Al 26.98 Al.upf
Ga 69.72 Ga.upf
Ag 107.87 Ag.upf
CELL_PARAMETERS angstrom
-2.650 0.067 -4.370
-7.182 0.116 3.565
-2.117 7.710 0.610
ATOMIC_POSITIONS angstrom
Al -6.707 6.136 0.628
Al -2.732 3.501 0.670
Al -5.242 1.758 -0.823
Al -9.217 4.392 -0.866
Ga -3.347 6.876 -0.152
Ga -8.602 1.017 -0.044
Ag -7.094 3.378 0.561
Ag -4.844 2.513 2.195
Ag -4.855 4.516 -0.756
Ag -7.105 5.381 -2.391
Ag -3.141 2.758 -2.298
Ag -8.832 7.120 -0.842
Ag -8.809 5.135 2.102
Ag -3.117 0.773 0.647
Ag -6.277 0.270 1.267
Ag -8.032 2.065 2.872
Ag -5.673 7.623 -1.463
Ag -3.918 5.828 -3.067
! - E_form (meV/atom) = -2
! - energy above the most stable polymorph in this dataset (kJ/mol of formula units) = 0
! - symmetry = C2/c

Entry 12:
! PBE-GGA NdZnCu2Au4, relaxed; values from VASP
&SYSTEM
  ibrav = 0, nat = 8, ntyp = 4
/
ATOMIC_SPECIES
Nd 144.24 Nd.upf
Zn 65.41 Zn.upf
Cu 63.55 Cu.upf
Au 196.97 Au.upf
CELL_PARAMETERS angstrom
4.440 0.000 0.000
2.220 3.845 0.000
2.220 1.282 8.745
ATOMIC_POSITIONS angstrom
Nd 0.000 0.000 0.000
Zn 4.440 2.563 4.372
Cu 6.660 3.845 6.281
Cu 2.220 1.282 2.464
Au 4.440 2.563 7.024
Au 6.660 3.845 3.412
Au 2.220 1.282 5.332
Au 4.440 2.563 1.721
! - E_form (meV/atom) = -309
! - symmetry = R-3m

Entry 13:
! PBE-GGA SbHSeI2, relaxed; values from VASP
&SYSTEM
  ibrav = 0, nat = 5, ntyp = 4
/
ATOMIC_SPECIES
I 126.90 I.upf
Sb 121.76 Sb.upf
Se 78.96 Se.upf
H 1.01 H.upf
CELL_PARAMETERS angstrom
5.635 0.000 0.000
0.000 5.635 0.000
0.000 0.000 3.911
ATOMIC_POSITIONS angstrom
I 0.000 2.818 0.000
I 2.818 0.000 0.000
Sb 0.000 0.000 1.955
Se 2.818 2.818 1.955
H 0.000 0.000 0.000
! - energy above the most stable polymorph in this dataset (kJ/mol of formula units) = 0
! - symmetry = P4/mmm

Entry 14:
! PBE-GGA MoRuRh2, relaxed; values from VASP
&SYSTEM
  ibrav = 0, nat = 8, ntyp = 3
/
ATOMIC_SPECIES
Ru 101.07 Ru.upf
Mo 95.94 Mo.upf
Rh 102.91 Rh.upf
CELL_PARAMETERS angstrom
-3.018 -2.417 4.000
0.020 -4.768 -2.866
3.138 -5.121 3.141
ATOMIC_POSITIONS angstrom
Ru 0.000 0.000 0.000
Ru -0.690 -5.566 3.854
Mo -1.499 -3.593 0.567
Mo 0.830 -6.741 0.421
Rh -1.114 -3.399 2.947
Rh 0.435 -4.551 -0.526
Rh 1.229 -6.512 2.795
Rh -0.270 -10.152 3.334
! - E_form (meV/atom) = 1113
! - energy above the most stable polymorph in this dataset (kJ/mol of formula units) = 510
! - symmetry = I-42d

Entry 15:
! PBE-GGA YTlMo2, relaxed; values from VASP
&SYSTEM
  ibrav = 0, nat = 4, ntyp = 3
/
ATOMIC_SPECIES
Mo 95.94 Mo.upf
Tl 204.38 Tl.upf
Y 88.91 Y.upf
CELL_PARAMETERS angstrom
-1.756 -3.852 0.464
2.855 -1.321 -0.163
2.542 -0.429 6.057
ATOMIC_POSITIONS angstrom
Mo 0.215 -0.075 0.188
Mo 0.165 -2.245 1.531
Tl 2.604 -0.847 2.819
Y 3.355 -3.309 4.767
! - E_form (meV/atom) = 339
! - energy above the most stable polymorph in this dataset (kJ/mol of formula units) = 74
! - symmetry = Pm

Entry 16:
! PBE-GGA Tm3CoTe2, relaxed; values from VASP
&SYSTEM
  ibrav = 0, nat = 6, ntyp = 3
/
ATOMIC_SPECIES
Tm 168.93 Tm.upf
Co 58.93 Co.upf
Te 127.60 Te.upf
CELL_PARAMETERS angstrom
3.826 0.000 -1.084
-0.620 5.471 -2.189
0.058 -0.201 7.499
ATOMIC_POSITIONS angstrom
Tm 1.228 1.874 4.334
Tm 0.000 0.000 0.000
Tm 2.036 3.396 -0.108
Co -0.310 2.735 -1.095
Te 2.517 0.921 1.589
Te 0.747 4.348 2.636
! - formation energy from raw total energies (meV/atom) = -797
! - energy above the most stable polymorph in this dataset (kJ/mol of formula units) = 0
! - symmetry = Immm

Entry 17:
! PBE-GGA TlRe2, relaxed; values from VASP
&SYSTEM
  ibrav = 0, nat = 6, ntyp = 2
/
ATOMIC_SPECIES
Tl 204.38 Tl.upf
Re 186.21 Re.upf
CELL_PARAMETERS angstrom
1.531 5.332 -0.453
-1.531 5.332 -0.453
0.000 0.977 6.836
ATOMIC_POSITIONS angstrom
Tl 0.000 0.463 2.425
Tl 0.000 8.194 -0.302
Re 0.000 1.287 6.358
Re 0.000 7.810 3.975
Re 0.000 3.334 2.661
Re 0.000 5.110 4.568
! - E_form (meV/atom) = 863
! - energy above the most stable polymorph in this dataset (kJ/mol of formula units) = 93
! - symmetry = Cm

Entry 18:
! PBE-GGA PrIn2Hg2, relaxed; values from VASP
&SYSTEM
  ibrav = 0, nat = 10, ntyp = 3
/
ATOMIC_SPECIES
Pr 140.91 Pr.upf
In 114.82 In.upf
Hg 200.59 Hg.upf
CELL_PARAMETERS angstrom
-2.348 -4.429 -1.480
4.983 0.880 -1.310
3.855 -5.672 10.856
ATOMIC_POSITIONS angstrom
Pr 0.964 -1.418 2.714
Pr 2.892 -4.254 8.142
In 2.987 -6.913 6.719
In 0.000 0.000 0.000
In 1.928 -2.836 5.428
In 3.503 -2.308 1.347
Hg 4.922 -4.394 5.341
Hg 0.550 -3.328 -0.143
Hg 1.568 -4.826 2.724
Hg 5.940 -5.893 8.209
! - E_form (meV/atom) = -34
! - symmetry = P6_3/mmc

Entry 19:
! PBE-GGA AgI2, relaxed; values from VASP
&SYSTEM
  ibrav = 0, nat = 3, ntyp = 2
/
ATOMIC_SPECIES
I 126.90 I.upf
Ag 107.87 Ag.upf
CELL_PARAMETERS angstrom
-2.803 -2.918 -0.515
1.055 -0.320 -3.927
4.829 -4.938 1.699
ATOMIC_POSITIONS angstrom
I 2.289 -5.233 1.041
I 1.666 -1.324 -1.563
Ag 2.414 -2.469 0.850
! - formation energy from raw total energies (meV/atom) = -27
! - symmetry = P-4m2

Entry 20:
! PBE-GGA AlZnRe, relaxed; values from VASP
&SYSTEM
  ibrav = 0, nat = 3, ntyp = 3
/
ATOMIC_SPECIES
Re 186.21 Re.upf
Zn 65.41 Zn.upf
Al 26.98 Al.upf
CELL_PARAMETERS angstrom
-2.184 -1.759 0.011
1.818 -0.009 2.134
-3.632 4.530 3.113
ATOMIC_POSITIONS angstrom
Re -2.047 0.318 1.745
Zn -1.934 2.424 3.500
Al -0.016 0.020 0.014
! - E_form (meV/atom) = 101
! - energy above the most stable polymorph in this dataset (kJ/mol of formula units) = 28
! - symmetry = P3m1

Entry 21:
! PBE-GGA CaNdDy2, relaxed; values from VASP
&SYSTEM
  ibrav = 0, nat = 4, ntyp = 3
/
ATOMIC_SPECIES
Ca 40.08 Ca.upf
Nd 144.24 Nd.upf
Dy 162.50 Dy.upf
CELL_PARAMETERS angstrom
-2.013 1.042 -2.873
-2.992 -1.373 1.599
-1.765 9.155 4.558
ATOMIC_POSITIONS angstrom
Ca -3.385 4.412 1.642
Nd -2.503 -0.165 -0.637
Dy -1.352 7.014 3.492
Dy -0.413 2.141 1.066
! - E_form (meV/atom) = 76
! - energy above the most stable polymorph in this dataset (kJ/mol of formula units) = 6
! - symmetry = P4/mmm

Entry 22:
! PBE-GGA Y8Ho2Th, relaxed; values from VASP
&SYSTEM
  ibrav = 0, nat = 11, ntyp = 3
/
ATOMIC_SPECIES
Y 88.91 Y.upf
Ho 164.93 Ho.upf
Th 232.04 Th.upf
CELL_PARAMETERS angstrom
-5.042 -2.783 3.484
1.786 -7.529 6.609
0.972 -1.865 9.957
ATOMIC_POSITIONS angstrom
Y -2.905 -4.662 10.266
Y 0.240 -4.855 11.356
Y -3.472 -4.515 6.797
Y 1.188 -7.662 13.253
Y -2.523 -7.322 8.693
Y 0.622 -7.515 9.784
Y -0.209 -4.587 7.710
Y -2.075 -7.591 12.340
Ho -1.387 -2.986 4.715
Ho -0.897 -9.191 15.334
Th 0.000 0.000 0.000
! - E_form (meV/atom) = 200
! - energy above the most stable polymorph in this dataset (kJ/mol of formula units) = 178
! - symmetry = C2/m

Entry 23:
! PBE-GGA In8Sn2Hg, relaxed; values from VASP
&SYSTEM
  ibrav = 0, nat = 11, ntyp = 3
/
ATOMIC_SPECIES
In 114.82 In.upf
Sn 118.71 Sn.upf
Hg 200.59 Hg.upf
CELL_PARAMETERS angstrom
-2.745 -1.190 -4.951
5.399 0.793 -3.184
0.314 -8.056 4.795
ATOMIC_POSITIONS angstrom
In 0.529 -1.751 -2.636
In -0.292 -7.102 0.907
In 1.963 -5.602 -4.335
In 1.006 -2.850 0.995
In 3.261 -1.350 -4.247
In 2.439 -6.701 -0.704
In 0.574 -2.046 -5.805
In 2.395 -6.406 2.466
Sn 3.038 -3.751 -2.052
Sn -0.069 -4.702 -1.288
Hg 0.000 0.000 0.000
! - E_form (meV/atom) = 46
! - symmetry = C2/m

Entry 24:
! PBE-GGA Ac3TbPt8, relaxed; values from VASP
&SYSTEM
  ibrav = 0, nat = 12, ntyp = 3
/
ATOMIC_SPECIES
Ac 227.00 Ac.upf
Tb 158.93 Tb.upf
Pt 195.08 Pt.upf
CELL_PARAMETERS angstrom
5.367 0.000 1.620
2.439 4.780 1.620
-0.008 -0.005 9.724
ATOMIC_POSITIONS angstrom
Ac 2.925 1.791 9.709
Ac 7.787 4.769 3.300
Ac 3.912 2.396 6.437
Tb 6.818 4.176 6.512
Pt 6.082 2.085 4.089
Pt 4.651 4.482 8.870
Pt 3.404 2.085 3.281
Pt 7.318 4.482 9.675
Pt 1.463 0.896 4.853
Pt 5.360 3.283 11.341
Pt 4.621 4.470 4.089
Pt 6.106 2.106 8.870
! - E_form (meV/atom) = -1035
! - symmetry = R3m

Entry 25:
! PBE-GGA Mn2W, relaxed; values from VASP
&SYSTEM
  ibrav = 0, nat = 12, ntyp = 2
/
ATOMIC_SPECIES
Mn 54.94 Mn.upf
W 183.84 W.upf
CELL_PARAMETERS angstrom
-2.407 5.241 1.061
-5.043 -2.612 1.459
1.777 -0.314 5.579
ATOMIC_POSITIONS angstrom
Mn -2.034 -1.209 5.882
Mn -4.035 -1.628 3.414
Mn -0.043 1.253 5.386
Mn -2.044 0.834 2.918
Mn -3.630 1.481 5.182
Mn -5.630 1.062 2.714
Mn -1.639 3.943 4.686
Mn -3.640 3.523 2.218
W 0.000 0.000 0.000
W -1.633 -1.463 3.519
W -0.315 2.463 3.320
W -3.725 1.314 1.260
! - E_form (meV/atom) = 1262
! - energy above the most stable polymorph in this dataset (kJ/mol of formula units) = 389
! - symmetry = Pa-3

Mass density? In order: 8251 8875 5509 10356 3497 7592 3686 9634 9923 10168 8171 12510 6090 7831 9663 8769 16956 8436 5075 10314 6084 5851 7301 15974 9675 kg/m3.
Spin magnetization? In order: 0.00 0.00 0.01 8.19 0.00 0.00 3.30 0.00 0.00 0.00 0.00 0.00 0.36 0.00 0.00 0.00 0.00 0.00 0.00 0.00 0.00 0.00 0.00 0.00 4.39 μB/f.u..